Computed, not measured: a relaxed structure of Cd2SbSe at the PBE-GGA level of DFT.

Energy ... -2.47 eV/atom

abc: 4.0301 5.9070 4.3139
angles: 90.00 90.00 90.00
Last column: nearest neighbours and their distance in Å.
Space group Pmm2 (No. 25)
One atom of each set of equivalent atoms:
Cd 0.0000 0.0000 0.0000 (multiplicity 1)  4 Se 2.94-2.97, 2 Sb 2.95
Cd 0.5000 0.5000 0.4808 (multiplicity 1)  4 Sb 2.95, 2 Se 2.95
Sb 0.0000 0.5000 0.9809 (multiplicity 1)  6 Cd 2.95
Se 0.5000 0.0000 0.4952 (multiplicity 1)  6 Cd 2.94-2.97

=====

Computed, not measured: a relaxed structure of Li2HgPt2 at the PBE-GGA level of DFT.

DFT formation energy ... -347 meV/atom
ΔE to the lowest computed polymorph ... 0 meV/atom
Energy ... -3.59 eV/atom

abc: 7.2780 7.2780 2.9471
angles: 90.00 90.00 90.00
Last column: nearest neighbours and their distance in Å.
Space group P4/mbm (No. 127)
One atom of each set of equivalent atoms:
Li 0.1632 0.3368 0.0000 (multiplicity 4)  6 Pt 2.56-2.62
Hg 0.0000 0.0000 0.5000 (multiplicity 2)  4 Pt 2.84, 2 Hg 2.95, 8 Li 3.10
Pt 0.1329 0.6329 0.5000 (multiplicity 4)  6 Li 2.56-2.62, 1 Pt 2.74, 2 Hg 2.84

=====

Computed, not measured: a relaxed structure of ReHg2Pb at the PBE-GGA level of DFT.

DFT formation energy ... 931 meV/atom
Energy ... -3.26 eV/atom

abc: 6.3494 8.8720 3.0133
angles: 90.00 90.00 90.00
Last column: nearest neighbours and their distance in Å.
Space group Cmmm (No. 65)
One atom of each set of equivalent atoms:
Re 0.0000 0.0000 0.0000 (multiplicity 2)  2 Re 3.01, 8 Hg 3.12, 2 Pb 3.17
Hg 0.2500 0.2500 0.5000 (multiplicity 4)  4 Hg 3.01-3.17, 4 Pb 3.12, 4 Re 3.12
Pb 0.0000 0.5000 0.0000 (multiplicity 2)  2 Pb 3.01, 8 Hg 3.12, 2 Re 3.17

=====

Computed, not measured: a relaxed structure of ZrCu2Mo at the PBE-GGA level of DFT.

DFT formation energy ... 164 meV/atom
ΔE to the lowest computed polymorph ... 77 meV/atom
Energy ... -6.73 eV/atom

abc: 10.2026 2.8570 4.7919
angles: 90.00 117.05 90.00
Last column: nearest neighbours and their distance in Å.
Space group Cm (No. 8)
One atom of each set of equivalent atoms:
Zr 0.0000 0.0000 0.0000 (multiplicity 2)  7 Cu 2.74-2.88, 3 Mo 2.84-2.91, 2 Zr 2.86
Cu 0.0224 0.5000 0.5080 (multiplicity 2)  2 Cu 2.52, 2 Mo 2.73, 2 Zr 2.74
Cu 0.2407 0.0000 0.8431 (multiplicity 2)  2 Cu 2.52, 2 Zr 2.79, 4 Mo 2.80-2.81
Mo 0.2727 0.5000 0.3727 (multiplicity 2)  7 Cu 2.73-2.91, 3 Zr 2.84-2.91, 2 Mo 2.86